## ZrMoRu (PBE-GGA)

Data for a geometry-optimized ZrMoRu structure.

Computed properties:
calculated formation energy = 0.27 eV per atom
DOS(E_F) = 3.2 states/eV per cell
total DFT energy (no corrections) = -9.285 eV per atom

abc: 4.3833 4.3833 4.3833
angles: 60.00 60.00 60.00
Positions (direct):
Zr: 0.0000 0.0000 0.0000
Ru: 0.7500 0.7500 0.7500
Mo: 0.5000 0.5000 0.5000

---

## MnInGaBi2 (PBE-GGA)

Data for a geometry-optimized MnInGaBi2 structure.

Computed properties:
calculated formation energy = 0.35 eV per atom
DOS(E_F) = 3.1 states/eV per cell
total DFT energy (no corrections) = -4.192 eV per atom

abc: 5.2788 5.1427 5.2788
angles: 90.00 90.00 90.00
Positions (direct):
In: 0.0000 0.5000 0.0000
Mn: 0.0000 0.0000 0.0000
Ga: 0.5000 0.5000 0.5000
Bi: 0.5000 0.0000 0.0000
Bi: 0.0000 0.0000 0.5000

---

Please write out number 2 again, unchanged.
## MnInGaBi2 (PBE-GGA)

Data for a geometry-optimized MnInGaBi2 structure.

Computed properties:
calculated formation energy = 0.35 eV per atom
DOS(E_F) = 3.1 states/eV per cell
total DFT energy (no corrections) = -4.192 eV per atom

abc: 5.2788 5.1427 5.2788
angles: 90.00 90.00 90.00
Positions (direct):
In: 0.0000 0.5000 0.0000
Mn: 0.0000 0.0000 0.0000
Ga: 0.5000 0.5000 0.5000
Bi: 0.5000 0.0000 0.0000
Bi: 0.0000 0.0000 0.5000